The following is a DFT calculation (GGA-PBE) of a relaxed structure of Dy4SbI5.

Geometry as POSCAR:
```
Dy4SbI5
1.0
4.278 0.000 0.000
0.000 8.900 0.165
-2.139 -2.182 9.287
Dy Sb I
4 1 5
Direct
0.654 0.075 0.308 Dy
0.001 0.224 0.002 Dy
0.346 0.925 0.692 Dy
0.999 0.776 0.998 Dy
0.500 0.000 0.000 Sb
0.167 0.332 0.335 I
0.172 0.826 0.343 I
0.828 0.174 0.657 I
0.500 0.500 0.000 I
0.833 0.668 0.665 I
```

* spin magnetization: 0.00 μB/f.u.
* volume: 355.1 Å³ per cell
* DOS at the Fermi energy: 3.808 states/eV/f.u.
* raw formation energy: -107 kJ/mol of atoms